# 1
Below is an optimized crystal structure of PtPbI2O, with properties calculated at the GGA-PBE level.

Results
* E_tot: -3.6716 eV/atom
* polymorph energy (0 for the lowest one): 0.00 eV/f.u.

a b c (Å): 5.687 5.687 3.928
angles (deg): 90.00 90.00 90.00
Atoms (fractional coordinates):
1 Pt 0.000 0.000 0.000
2 Pb 0.500 0.500 0.500
3 I 0.000 0.500 0.000
4 I 0.500 0.000 0.000
5 O 0.000 0.000 0.500

---

# 2
Below is an optimized crystal structure of PtPbIO6, with properties calculated at the GGA-PBE level.

Results
* E_tot: -5.0990 eV/atom

a b c (Å): 5.416 5.416 5.393
angles (deg): 90.00 90.00 120.00
Atoms (fractional coordinates):
1 Pt 0.000 0.000 0.000
2 Pb 0.667 0.333 0.500
3 I 0.333 0.667 0.000
4 O 0.034 0.330 0.207
5 O 0.034 0.703 0.793
6 O 0.297 0.330 0.793
7 O 0.297 0.966 0.207
8 O 0.670 0.703 0.207
9 O 0.670 0.966 0.793

---

# 3
Below is an optimized crystal structure of PtPbIO2, with properties calculated at the GGA-PBE level.

Results
* E_tot: -4.1118 eV/atom
* polymorph energy (0 for the lowest one): 0.00 eV/f.u.

a b c (Å): 4.261 4.261 5.531
angles (deg): 90.00 90.00 90.00
Atoms (fractional coordinates):
1 Pt 0.000 0.000 0.000
2 Pb 0.500 0.500 0.500
3 I 0.000 0.000 0.500
4 O 0.000 0.500 0.000
5 O 0.500 0.000 0.000

---

# 4
Below is an optimized crystal structure of PtPbI2O, with properties calculated at the GGA-PBE level.

Results
* E_tot: -3.0249 eV/atom
* polymorph energy (0 for the lowest one): 3.23 eV/f.u.

a b c (Å): 6.000 6.000 4.071
angles (deg): 90.00 90.00 90.00
Atoms (fractional coordinates):
1 Pt 0.000 0.000 0.000
2 Pb 0.500 0.500 0.500
3 I 0.000 0.500 0.500
4 I 0.500 0.000 0.500
5 O 0.500 0.500 0.000

---

Raw formation energy / eV/f.u.: -0.6 -4.8 0.7 2.7
M_tot / Bohr magnetons per cell: 0.0 0.0 0.0 0.9